# K3RbZn2F8

A relaxed structure of K3RbZn2F8 (PBE, Alexandria via LeMat-Bulk).

Output
The crystal system is trigonal. As for the energy: -4.0770 eV/atom. For the total moment, the calculation gives 0.00 μB per cell.

The structure in POSCAR format:
```
K3RbZn2F8
1.0
6.574 0.000 0.000
-3.287 5.693 0.000
0.000 0.000 7.735
K Rb Zn F
3 1 2 8
direct
0.333 0.667 0.617
0.667 0.333 0.383
0.000 0.000 0.000
0.000 0.000 0.500
0.333 0.667 0.174
0.667 0.333 0.826
0.333 0.667 0.932
0.667 0.333 0.068
0.182 0.818 0.289
0.818 0.182 0.711
0.182 0.363 0.289
0.818 0.637 0.711
0.637 0.818 0.289
0.363 0.182 0.711
```


# Tb5Sc2Sn5

A relaxed structure of Tb5Sc2Sn5 (PBE, Alexandria via LeMat-Bulk).

Output
The crystal system is monoclinic. As for the formation energy: -0.528 eV/atom. For the total moment, the calculation gives 0.00 μB per cell.

The structure in POSCAR format:
```
Tb5Sc2Sn5
1.0
-4.154 1.335 -1.666
-0.457 -5.938 2.929
-0.027 10.064 8.133
Tb Sc Sn
5 2 5
direct
0.500 0.000 0.500
0.659 0.318 0.015
0.684 0.369 0.293
0.316 0.631 0.707
0.341 0.682 0.985
0.048 0.097 0.788
0.952 0.903 0.212
0.145 0.289 0.442
0.689 0.378 0.784
0.311 0.622 0.216
0.855 0.711 0.558
0.000 0.000 0.000
```


# TiHOsRh2

A relaxed structure of TiHOsRh2 (PBE, Alexandria via LeMat-Bulk).

Output
The crystal system is tetragonal. For the energy relative to the lowest polymorph listed for this composition, the calculation gives 0.000 eV per atom. For the total moment, the calculation gives 0.00 μB per cell.

The structure in POSCAR format:
```
TiHOsRh2
1.0
-1.272 -2.951 -2.194
2.334 -2.442 1.932
-2.891 -0.696 2.613
Rh Os H Ti
2 1 1 1
direct
0.000 0.500 0.000
0.500 0.000 0.000
0.000 0.000 0.500
0.000 0.000 0.000
0.500 0.500 0.500
```


# Ac3Ni3Pb

A relaxed structure of Ac3Ni3Pb (PBE, Alexandria via LeMat-Bulk).

Output
The crystal system is hexagonal. As for the formation energy: -0.114 eV/atom. For the energy relative to the lowest polymorph listed for this composition, the calculation gives 0.243 eV per atom. For the total moment, the calculation gives 0.00 μB per cell.

The structure in POSCAR format:
```
Ac3Ni3Pb
1.0
5.854 0.000 0.000
0.000 9.066 0.000
0.000 -4.533 7.852
Ac Ni Pb
6 6 2
direct
0.750 0.702 0.647
0.750 0.353 0.055
0.750 0.945 0.298
0.250 0.298 0.353
0.250 0.647 0.945
0.250 0.055 0.702
0.250 0.683 0.631
0.250 0.369 0.051
0.250 0.949 0.317
0.750 0.317 0.369
0.750 0.631 0.949
0.750 0.051 0.683
0.250 0.667 0.333
0.750 0.333 0.667
```


# HgAsH3

A relaxed structure of HgAsH3 (PBE, Alexandria via LeMat-Bulk).

Output
The crystal system is cubic. As for the energy: -2.0049 eV/atom. For the total moment, the calculation gives 0.00 μB per cell.

The structure in POSCAR format:
```
HgAsH3
1.0
-0.517 2.523 2.923
-3.682 0.566 -1.139
-1.162 -2.914 2.310
H As Hg
3 1 1
direct
0.000 0.500 0.000
0.000 0.000 0.500
0.500 0.000 0.000
0.500 0.500 0.500
0.000 0.000 0.000
```


# SrTaPt2

A relaxed structure of SrTaPt2 (PBE, Alexandria via LeMat-Bulk).

Output
The crystal system is cubic. As for the formation energy: 0.130 eV/atom. For the energy relative to the lowest polymorph listed for this composition, the calculation gives 0.710 eV per atom. For the total moment, the calculation gives 0.00 μB per cell.

The structure in POSCAR format:
```
SrTaPt2
1.0
-1.970 1.541 4.021
1.408 -1.774 4.159
2.509 2.681 2.990
Pt Sr Ta
2 1 1
direct
0.000 0.000 0.000
0.250 0.250 0.250
0.500 0.500 0.500
0.750 0.750 0.750
```


# HoAl2Cu

A relaxed structure of HoAl2Cu (PBE, Alexandria via LeMat-Bulk).

Output
The crystal system is orthorhombic. As for the formation energy: -0.437 eV/atom. For the total moment, the calculation gives 0.00 μB per cell.

The structure in POSCAR format:
```
HoAl2Cu
1.0
-0.699 -2.867 -4.620
1.659 -5.707 3.290
-15.005 -2.248 3.666
Ho Al Cu
8 16 8
direct
0.472 0.250 0.144
0.972 0.750 0.356
0.528 0.750 0.856
0.028 0.250 0.644
0.737 0.250 0.390
0.237 0.750 0.110
0.263 0.750 0.610
0.763 0.250 0.890
0.960 0.055 0.216
0.460 0.945 0.284
0.040 0.555 0.784
0.540 0.445 0.716
0.040 0.945 0.784
0.540 0.055 0.716
0.960 0.445 0.216
0.460 0.555 0.284
0.742 0.552 0.034
0.242 0.448 0.466
0.258 0.052 0.966
0.758 0.948 0.534
0.258 0.448 0.966
0.758 0.552 0.534
0.742 0.948 0.034
0.242 0.052 0.466
0.226 0.250 0.327
0.726 0.750 0.173
0.774 0.750 0.673
0.274 0.250 0.827
0.989 0.250 0.073
0.489 0.750 0.427
0.011 0.750 0.927
0.511 0.250 0.573
```


# SrTh2ReN4

A relaxed structure of SrTh2ReN4 (PBE, Alexandria via LeMat-Bulk).

Output
The crystal system is orthorhombic. As for the energy: -8.7258 eV/atom. For the total moment, the calculation gives 0.00 μB per cell.

The structure in POSCAR format:
```
SrTh2ReN4
1.0
3.692 0.000 0.000
-1.846 6.190 0.000
0.000 0.000 12.700
Sr Th Re N
2 4 2 8
direct
0.064 0.127 0.750
0.936 0.873 0.250
0.366 0.732 0.551
0.634 0.268 0.051
0.634 0.268 0.449
0.366 0.732 0.949
0.798 0.596 0.750
0.202 0.404 0.250
0.251 0.503 0.100
0.749 0.497 0.600
0.749 0.497 0.900
0.251 0.503 0.400
0.000 0.000 0.500
0.000 0.000 0.000
0.367 0.734 0.750
0.633 0.266 0.250
```